1.
The following is a PBE-GGA calculation of a geometry-optimized Nb2TcSn structure, from the Alexandria database. Values from VASP.

```
&SYSTEM
  ibrav = 0, nat = 4, ntyp = 3
/
ATOMIC_SPECIES
Nb 92.91 Nb.upf
Tc 98.00 Tc.upf
Sn 118.71 Sn.upf
CELL_PARAMETERS angstrom
-1.692 2.302 4.593
1.692 -2.302 4.593
1.692 2.302 -4.593
ATOMIC_POSITIONS angstrom
Nb 0.000 0.000 0.000
Nb 0.000 2.302 2.315
Tc 1.692 0.000 2.121
Sn 0.000 0.000 4.440
```

Summary:
For the energy of formation from the pure elements, the calculation gives -0.092 eV per atom. For the density of states at the Fermi level, the calculation gives 0.923 states/eV per atom. Its crystal system is orthorhombic. The volume comes out at 72 Å³ per cell.

---

2.
The following is a PBE-GGA calculation of a geometry-optimized NbTcSn structure, from the Alexandria database. Values from VASP.

```
&SYSTEM
  ibrav = 0, nat = 6, ntyp = 3
/
ATOMIC_SPECIES
Nb 92.91 Nb.upf
Tc 98.00 Tc.upf
Sn 118.71 Sn.upf
CELL_PARAMETERS angstrom
2.124 -5.878 0.000
2.124 5.878 0.000
0.000 0.000 4.380
ATOMIC_POSITIONS angstrom
Nb 2.124 4.632 3.285
Nb 2.124 -4.632 1.095
Tc 2.124 2.925 1.095
Tc 2.124 -2.925 3.285
Sn 2.124 1.143 3.285
Sn 2.124 -1.143 1.095
```

Summary:
For the energy of formation from the pure elements, the calculation gives -0.060 eV per atom. For the density of states at the Fermi level, the calculation gives 0.456 states/eV per atom. The calculation puts the energy relative to the lowest polymorph listed for this composition at 25 meV per atom. Its crystal system is orthorhombic. The volume comes out at 109 Å³ per cell.

---

3.
The following is a PBE-GGA calculation of a geometry-optimized Nb2TcSn structure, from the Alexandria database. Values from VASP.

```
&SYSTEM
  ibrav = 0, nat = 4, ntyp = 3
/
ATOMIC_SPECIES
Nb 92.91 Nb.upf
Tc 98.00 Tc.upf
Sn 118.71 Sn.upf
CELL_PARAMETERS angstrom
2.874 -3.846 0.000
2.874 3.846 0.000
0.000 0.000 3.256
ATOMIC_POSITIONS angstrom
Nb 1.437 1.923 0.000
Nb 1.437 -1.923 0.000
Tc 0.000 0.000 1.628
Sn 2.874 0.000 1.628
```

Summary:
For the energy of formation from the pure elements, the calculation gives -0.007 eV per atom. For the density of states at the Fermi level, the calculation gives 0.972 states/eV per atom. Its crystal system is orthorhombic. The volume comes out at 72 Å³ per cell.

---

4.
The following is a PBE-GGA calculation of a geometry-optimized Nb2TcSn structure, from the Alexandria database. Values from VASP.

```
&SYSTEM
  ibrav = 0, nat = 8, ntyp = 3
/
ATOMIC_SPECIES
Nb 92.91 Nb.upf
Tc 98.00 Tc.upf
Sn 118.71 Sn.upf
CELL_PARAMETERS angstrom
4.925 -2.261 0.000
4.925 2.261 0.000
-2.446 0.000 6.408
ATOMIC_POSITIONS angstrom
Nb 0.000 0.000 0.000
Nb -1.146 0.000 3.101
Nb 0.295 0.000 5.555
Nb 2.968 0.000 4.647
Tc 1.476 0.000 2.316
Tc 4.179 0.000 1.440
Sn 6.942 0.000 0.778
Sn 5.817 0.000 3.851
```

Summary:
For the energy of formation from the pure elements, the calculation gives -0.099 eV per atom. For the density of states at the Fermi level, the calculation gives 0.894 states/eV per atom. Its crystal system is monoclinic. The volume comes out at 143 Å³ per cell.

---

5.
The following is a PBE-GGA calculation of a geometry-optimized NbTcSn structure, from the Alexandria database. Values from VASP.

```
&SYSTEM
  ibrav = 0, nat = 6, ntyp = 3
/
ATOMIC_SPECIES
Nb 92.91 Nb.upf
Tc 98.00 Tc.upf
Sn 118.71 Sn.upf
CELL_PARAMETERS angstrom
4.844 0.000 0.000
2.179 4.535 0.000
1.743 1.405 4.895
ATOMIC_POSITIONS angstrom
Nb 2.024 2.255 1.207
Nb 6.741 3.686 3.688
Tc 4.193 3.695 1.260
Tc 4.573 2.245 3.635
Sn 4.340 5.217 3.660
Sn 4.425 0.724 1.235
```

Summary:
For the energy of formation from the pure elements, the calculation gives 0.013 eV per atom. For the density of states at the Fermi level, the calculation gives 0.572 states/eV per atom. The calculation puts the energy relative to the lowest polymorph listed for this composition at 98 meV per atom. Its crystal system is triclinic. The volume comes out at 108 Å³ per cell.

---

6.
The following is a PBE-GGA calculation of a geometry-optimized NbTcSn structure, from the Alexandria database. Values from VASP.

```
&SYSTEM
  ibrav = 0, nat = 6, ntyp = 3
/
ATOMIC_SPECIES
Nb 92.91 Nb.upf
Tc 98.00 Tc.upf
Sn 118.71 Sn.upf
CELL_PARAMETERS angstrom
4.665 0.000 0.000
-2.332 4.040 0.000
0.000 0.000 5.602
ATOMIC_POSITIONS angstrom
Nb 0.000 0.000 0.000
Nb 0.000 0.000 2.801
Tc 0.000 2.693 1.095
Tc 2.332 1.347 4.507
Sn 0.000 2.693 3.931
Sn 2.332 1.347 1.671
```

Summary:
For the energy of formation from the pure elements, the calculation gives -0.071 eV per atom. For the density of states at the Fermi level, the calculation gives 0.713 states/eV per atom. The calculation puts the energy relative to the lowest polymorph listed for this composition at 14 meV per atom. Its crystal system is trigonal. The volume comes out at 106 Å³ per cell.

---

7.
The following is a PBE-GGA calculation of a geometry-optimized NbTcSn structure, from the Alexandria database. Values from VASP.

```
&SYSTEM
  ibrav = 0, nat = 6, ntyp = 3
/
ATOMIC_SPECIES
Nb 92.91 Nb.upf
Tc 98.00 Tc.upf
Sn 118.71 Sn.upf
CELL_PARAMETERS angstrom
6.941 -1.645 0.000
6.941 1.645 0.000
-0.417 0.000 4.684
ATOMIC_POSITIONS angstrom
Nb 0.000 0.000 0.000
Nb 2.341 0.000 2.008
Tc 8.788 0.000 4.356
Tc 11.319 0.000 2.198
Sn 4.101 0.000 4.535
Sn 6.761 0.000 2.321
```

Summary:
For the energy of formation from the pure elements, the calculation gives -0.032 eV per atom. For the density of states at the Fermi level, the calculation gives 0.577 states/eV per atom. The calculation puts the energy relative to the lowest polymorph listed for this composition at 53 meV per atom. Its crystal system is monoclinic. The volume comes out at 107 Å³ per cell.

---

8.
The following is a PBE-GGA calculation of a geometry-optimized NbTcSn2 structure, from the Alexandria database. Values from VASP.

```
&SYSTEM
  ibrav = 0, nat = 4, ntyp = 3
/
ATOMIC_SPECIES
Nb 92.91 Nb.upf
Tc 98.00 Tc.upf
Sn 118.71 Sn.upf
CELL_PARAMETERS angstrom
1.533 0.885 10.246
-1.533 0.885 10.246
0.000 -1.770 10.246
ATOMIC_POSITIONS angstrom
Nb 0.000 0.000 0.000
Tc 0.000 0.000 15.368
Sn 0.000 0.000 12.663
Sn 0.000 0.000 18.074
```

Summary:
For the energy of formation from the pure elements, the calculation gives 0.544 eV per atom. For the density of states at the Fermi level, the calculation gives 1.031 states/eV per atom. The calculation puts the energy relative to the lowest polymorph listed for this composition at 338 meV per atom. Its crystal system is trigonal. The volume comes out at 83 Å³ per cell.

---

9.
The following is a PBE-GGA calculation of a geometry-optimized NbTcSn structure, from the Alexandria database. Values from VASP.

```
&SYSTEM
  ibrav = 0, nat = 6, ntyp = 3
/
ATOMIC_SPECIES
Nb 92.91 Nb.upf
Tc 98.00 Tc.upf
Sn 118.71 Sn.upf
CELL_PARAMETERS angstrom
4.877 -2.326 0.000
4.877 2.326 0.000
-2.953 0.000 4.736
ATOMIC_POSITIONS angstrom
Nb 0.000 0.000 0.000
Nb 4.988 0.000 2.324
Tc 1.639 0.000 2.154
Tc 3.345 0.000 4.697
Sn 0.204 0.000 4.521
Sn 8.001 0.000 2.194
```

Summary:
For the energy of formation from the pure elements, the calculation gives -0.011 eV per atom. For the density of states at the Fermi level, the calculation gives 0.499 states/eV per atom. The calculation puts the energy relative to the lowest polymorph listed for this composition at 74 meV per atom. Its crystal system is monoclinic. The volume comes out at 107 Å³ per cell.

---

10.
The following is a PBE-GGA calculation of a geometry-optimized Nb2TcSn structure, from the Alexandria database. Values from VASP.

```
&SYSTEM
  ibrav = 0, nat = 8, ntyp = 3
/
ATOMIC_SPECIES
Nb 92.91 Nb.upf
Tc 98.00 Tc.upf
Sn 118.71 Sn.upf
CELL_PARAMETERS angstrom
5.403 0.000 0.000
-2.414 4.840 0.000
-0.902 -1.377 5.454
ATOMIC_POSITIONS angstrom
Nb 0.000 0.000 0.000
Nb -1.361 2.044 1.343
Nb -2.609 4.064 2.755
Nb 1.087 1.770 2.762
Tc -0.251 3.764 4.106
Tc 1.668 2.339 0.065
Sn -1.721 1.340 4.091
Sn 0.191 4.434 1.366
```

Summary:
For the energy of formation from the pure elements, the calculation gives -0.104 eV per atom. For the density of states at the Fermi level, the calculation gives 0.765 states/eV per atom. Its crystal system is triclinic. The volume comes out at 143 Å³ per cell.

---

11.
The following is a PBE-GGA calculation of a geometry-optimized NbTcSn2 structure, from the Alexandria database. Values from VASP.

```
&SYSTEM
  ibrav = 0, nat = 4, ntyp = 3
/
ATOMIC_SPECIES
Nb 92.91 Nb.upf
Tc 98.00 Tc.upf
Sn 118.71 Sn.upf
CELL_PARAMETERS angstrom
0.000 3.348 3.348
3.348 0.000 3.348
3.348 3.348 0.000
ATOMIC_POSITIONS angstrom
Nb 0.000 0.000 0.000
Tc 3.348 3.348 3.348
Sn 1.674 1.674 1.674
Sn 5.023 5.023 5.023
```

Summary:
For the energy of formation from the pure elements, the calculation gives 0.206 eV per atom. For the density of states at the Fermi level, the calculation gives 1.341 states/eV per atom. The calculation puts the energy relative to the lowest polymorph listed for this composition at 0 meV per atom. Its crystal system is cubic. The volume comes out at 75 Å³ per cell.

---

12.
The following is a PBE-GGA calculation of a geometry-optimized NbTcSn structure, from the Alexandria database. Values from VASP.

```
&SYSTEM
  ibrav = 0, nat = 6, ntyp = 3
/
ATOMIC_SPECIES
Nb 92.91 Nb.upf
Tc 98.00 Tc.upf
Sn 118.71 Sn.upf
CELL_PARAMETERS angstrom
4.929 -2.273 0.000
4.929 2.273 0.000
-2.850 0.000 4.768
ATOMIC_POSITIONS angstrom
Nb -0.587 0.000 1.307
Nb 7.595 0.000 3.461
Tc 2.233 0.000 1.931
Tc 4.774 0.000 2.837
Sn 0.667 0.000 4.216
Sn 6.341 0.000 0.552
```

Summary:
For the energy of formation from the pure elements, the calculation gives -0.041 eV per atom. For the density of states at the Fermi level, the calculation gives 0.793 states/eV per atom. The calculation puts the energy relative to the lowest polymorph listed for this composition at 44 meV per atom. Its crystal system is monoclinic. The volume comes out at 107 Å³ per cell.